No. 1
! BaGeS2N (PBE, relaxed); values from VASP
! DOS at the Fermi energy (states/eV per atom): 0.302
! Raw formation energy (meV/atom): -350
! Symmetry: No. 123
! Uncorrected energy (eV per atom): -4.9738
! Crystal system: tetragonal
! Distance to the lowest polymorph of the same formula (eV/f.u.): 0.000
&SYSTEM
  ibrav = 0, nat = 5, ntyp = 4
/
ATOMIC_SPECIES
S 32.06 S.upf
N 14.01 N.upf
Ba 137.33 Ba.upf
Ge 72.64 Ge.upf
CELL_PARAMETERS angstrom
5.0528 0.0000 0.0000
0.0000 5.0528 0.0000
0.0000 0.0000 3.9759
ATOMIC_POSITIONS angstrom
S 0.0000 2.5264 0.0000
N 0.0000 0.0000 1.9879
Ba 2.5264 2.5264 1.9879
Ge 0.0000 0.0000 0.0000
S 2.5264 0.0000 0.0000

---

No. 2
! BaSm2GeN4 (PBE, relaxed); values from VASP
! Raw formation energy (meV/atom): -933
! Symmetry: No. 63
! Uncorrected energy (eV per atom): -7.0929
! Crystal system: orthorhombic
&SYSTEM
  ibrav = 0, nat = 16, ntyp = 4
/
ATOMIC_SPECIES
Ba 137.33 Ba.upf
Sm 150.36 Sm.upf
N 14.01 N.upf
Ge 72.64 Ge.upf
CELL_PARAMETERS angstrom
-2.8308 -1.9753 -0.7677
4.4363 -4.1152 2.3746
-4.2925 1.8134 11.1619
ATOMIC_POSITIONS angstrom
Ba -0.0047 -4.7300 4.0434
Sm -0.0874 -2.7886 7.4971
Sm -1.8903 -2.0270 12.1855
Ba -2.6823 0.4528 8.7254
N 0.0000 0.0000 0.0000
Ge 0.0328 -1.4148 3.5193
N -2.1462 0.9067 5.5810
N -0.7751 -2.7689 9.9822
N -3.7414 -1.8432 10.3941
Sm -0.7967 -2.2503 0.5833
Ge -2.7198 -2.8624 9.2495
N -0.0610 -1.9628 5.2753
N -2.6260 -2.3144 7.4935
N 1.0544 -2.4340 2.3747
Sm -2.5996 -1.4886 5.2717
N -1.9119 -1.5084 2.7866

---

No. 3
! BaSmGeN3 (PBE, relaxed); values from VASP
! DOS at the Fermi energy (states/eV per atom): 0.261
! Raw formation energy (meV/atom): -516
! Symmetry: No. 12
! Uncorrected energy (eV per atom): -6.5554
! Crystal system: monoclinic
&SYSTEM
  ibrav = 0, nat = 12, ntyp = 4
/
ATOMIC_SPECIES
Ge 72.64 Ge.upf
Sm 150.36 Sm.upf
Ba 137.33 Ba.upf
N 14.01 N.upf
CELL_PARAMETERS angstrom
4.0883 0.0000 0.0000
-2.0441 6.5519 -0.0718
0.0000 -2.0545 7.4201
ATOMIC_POSITIONS angstrom
Ge 2.0441 5.0181 5.2648
Sm 0.0000 3.7163 3.1191
Sm 2.0441 0.7811 4.2292
Ba 0.0000 2.7340 6.8262
N 2.0441 3.1719 4.7567
Ba 2.0441 1.7635 0.5221
N 0.0000 1.3256 2.5916
N 2.0441 4.2060 1.5159
N 0.0000 0.2915 5.8324
Ge 0.0000 -0.5207 2.0835
N 2.0441 -0.5512 2.1932
N 0.0000 5.0486 5.1551

---

No. 4
! Ba2SrGeN (PBE, relaxed); values from VASP
! DOS at the Fermi energy (states/eV per atom): 1.185
! Raw formation energy (meV/atom): -403
! Symmetry: No. 123
! Uncorrected energy (eV per atom): -4.0975
! Crystal system: tetragonal
&SYSTEM
  ibrav = 0, nat = 5, ntyp = 4
/
ATOMIC_SPECIES
N 14.01 N.upf
Ba 137.33 Ba.upf
Sr 87.62 Sr.upf
Ge 72.64 Ge.upf
CELL_PARAMETERS angstrom
-0.9753 2.5699 -4.7853
-2.0973 -4.6630 -2.0768
-4.7152 1.3660 1.6947
ATOMIC_POSITIONS angstrom
N 0.0000 0.0000 0.0000
Ba -1.0486 -2.3315 -1.0384
Sr -2.3576 0.6830 0.8473
Ge -3.8939 -0.3635 -2.5837
Ba -0.4877 1.2850 -2.3926

---

No. 5
! BaTb2GeN4 (PBE, relaxed); values from VASP
! Raw formation energy (meV/atom): -1017
! Symmetry: No. 63
! Uncorrected energy (eV per atom): -7.1550
! Crystal system: orthorhombic
&SYSTEM
  ibrav = 0, nat = 16, ntyp = 4
/
ATOMIC_SPECIES
N 14.01 N.upf
Tb 158.93 Tb.upf
Ge 72.64 Ge.upf
Ba 137.33 Ba.upf
CELL_PARAMETERS angstrom
-0.0582 2.0989 -2.7750
-5.3660 1.2701 3.2552
5.7578 8.3834 6.2202
ATOMIC_POSITIONS angstrom
N 0.0000 0.0000 0.0000
N -2.1117 2.1833 1.6958
Tb 1.5458 9.7649 7.3536
Ge -0.5228 2.9395 2.2344
N -0.0568 8.1686 6.1798
Tb -1.2123 1.9876 -0.6531
Tb 1.2113 5.5162 1.9651
N 2.4453 9.5691 5.0047
Ba -3.0191 5.0497 1.7010
N 0.9189 7.3467 3.3558
N -0.5854 4.4057 3.3447
N 2.8789 4.1917 3.1101
Ge 0.8563 8.8130 4.4661
Ba 3.3527 6.7027 4.9995
N 0.3904 3.5838 0.5207
Tb -0.8777 6.2362 4.7354

---

No. 6
! BaTc2GeN2 (PBE, relaxed); values from VASP
! DOS at the Fermi energy (states/eV per atom): 0.623
! Raw formation energy (meV/atom): -265
! Symmetry: No. 11
! Uncorrected energy (eV per atom): -7.5851
! Crystal system: monoclinic
&SYSTEM
  ibrav = 0, nat = 12, ntyp = 4
/
ATOMIC_SPECIES
Ba 137.33 Ba.upf
Tc 98.00 Tc.upf
N 14.01 N.upf
Ge 72.64 Ge.upf
CELL_PARAMETERS angstrom
-1.7260 3.4119 4.1995
-6.1090 0.2151 -2.6855
0.3018 -5.6202 4.6903
ATOMIC_POSITIONS angstrom
Ba -3.0453 -1.2366 5.5138
Tc -5.0235 -4.3298 1.4617
N -4.3457 -2.9577 2.5372
Ge -6.1905 2.3291 1.3242
Ge -1.3427 -4.3223 4.8801
Tc -5.8827 -2.6314 3.5522
N -6.5435 -0.9074 3.8086
N -0.9897 -1.0858 2.3956
Tc -1.6506 0.6382 2.6521
Tc -2.5097 2.3366 4.7426
N -3.1875 0.9645 3.6671
Ba -4.4880 -0.7566 0.6905

---

No. 7
! BaTcGe2N (PBE, relaxed); values from VASP
! DOS at the Fermi energy (states/eV per atom): 1.001
! Raw formation energy (meV/atom): 753
! Symmetry: No. 123
! Uncorrected energy (eV per atom): -5.2165
! Crystal system: tetragonal
&SYSTEM
  ibrav = 0, nat = 5, ntyp = 4
/
ATOMIC_SPECIES
Tc 98.00 Tc.upf
N 14.01 N.upf
Ge 72.64 Ge.upf
Ba 137.33 Ba.upf
CELL_PARAMETERS angstrom
-3.6207 0.8725 -2.8650
1.3770 -5.0870 -3.2895
-2.8080 -2.5522 2.7714
ATOMIC_POSITIONS angstrom
Tc 0.0000 0.0000 0.0000
N -2.5258 -3.3833 -1.6916
Ge -1.4040 -1.2761 1.3857
Ba 0.6885 -2.5435 -1.6447
Ge -1.8104 0.4363 -1.4325

---

No. 8
! BaGeTe2N (PBE, relaxed); values from VASP
! DOS at the Fermi energy (states/eV per atom): 1.404
! Raw formation energy (meV/atom): 1084
! Symmetry: No. 123
! Uncorrected energy (eV per atom): -3.1457
! Crystal system: tetragonal
! Distance to the lowest polymorph of the same formula (eV/f.u.): 5.858
&SYSTEM
  ibrav = 0, nat = 5, ntyp = 4
/
ATOMIC_SPECIES
Te 127.60 Te.upf
N 14.01 N.upf
Ge 72.64 Ge.upf
Ba 137.33 Ba.upf
CELL_PARAMETERS angstrom
6.5019 0.0000 0.0000
0.0000 6.5019 0.0000
0.0000 0.0000 4.3572
ATOMIC_POSITIONS angstrom
Te 0.0000 3.2510 0.0000
N 0.0000 0.0000 2.1786
Te 3.2510 0.0000 0.0000
Ge 3.2510 3.2510 2.1786
Ba 0.0000 0.0000 0.0000

---

No. 9
! BaGeTe2N (PBE, relaxed); values from VASP
! DOS at the Fermi energy (states/eV per atom): 0.468
! Raw formation energy (meV/atom): -88
! Symmetry: No. 123
! Uncorrected energy (eV per atom): -4.3173
! Crystal system: tetragonal
! Distance to the lowest polymorph of the same formula (eV/f.u.): 0.000
&SYSTEM
  ibrav = 0, nat = 5, ntyp = 4
/
ATOMIC_SPECIES
Te 127.60 Te.upf
Ge 72.64 Ge.upf
Ba 137.33 Ba.upf
N 14.01 N.upf
CELL_PARAMETERS angstrom
6.0264 0.0000 0.0000
0.0000 6.0264 0.0000
0.0000 0.0000 3.7198
ATOMIC_POSITIONS angstrom
Te 3.0132 0.0000 0.0000
Ge 0.0000 0.0000 0.0000
Ba 3.0132 3.0132 1.8599
Te 0.0000 3.0132 0.0000
N 0.0000 0.0000 1.8599

---

No. 10
! Ba2UGe2N6 (PBE, relaxed); values from VASP
! Raw formation energy (meV/atom): -594
! Symmetry: No. 166
! Uncorrected energy (eV per atom): -7.3505
! Crystal system: trigonal
&SYSTEM
  ibrav = 0, nat = 11, ntyp = 4
/
ATOMIC_SPECIES
Ge 72.64 Ge.upf
N 14.01 N.upf
Ba 137.33 Ba.upf
U 238.03 U.upf
CELL_PARAMETERS angstrom
6.0273 0.0000 0.0000
3.0137 5.2198 0.0000
3.0137 1.7399 5.9789
ATOMIC_POSITIONS angstrom
Ge 6.0273 3.4799 4.6051
N 6.0273 1.6919 1.3871
Ba 3.0137 1.7399 2.1578
N 6.0273 5.2679 4.5918
N 7.5758 2.5859 4.5918
Ba 9.0410 5.2198 3.8211
Ge 6.0273 3.4799 1.3738
N 7.5758 4.3739 1.3871
N 4.4789 4.3739 1.3871
N 4.4789 2.5859 4.5918
U 0.0000 0.0000 0.0000

---

No. 11
! BaZn2GeN (PBE, relaxed); values from VASP
! DOS at the Fermi energy (states/eV per atom): 0.423
! Raw formation energy (meV/atom): -207
! Symmetry: No. 63
! Uncorrected energy (eV per atom): -3.6894
! Crystal system: orthorhombic
&SYSTEM
  ibrav = 0, nat = 10, ntyp = 4
/
ATOMIC_SPECIES
Ge 72.64 Ge.upf
Ba 137.33 Ba.upf
Zn 65.41 Zn.upf
N 14.01 N.upf
CELL_PARAMETERS angstrom
4.2318 0.0000 0.0000
-2.1159 6.2367 0.0000
0.0000 0.0000 7.4082
ATOMIC_POSITIONS angstrom
Ge 0.0000 3.3901 1.8520
Ba 0.0000 5.6125 5.5561
Zn 2.1159 4.3556 3.2289
N 0.0000 0.0000 0.0000
Zn 2.1159 4.3556 0.4752
Ba 2.1159 0.6242 1.8520
Ge 2.1159 2.8467 5.5561
Zn 0.0000 1.8812 6.9330
Zn 0.0000 1.8812 4.1792
N 0.0000 0.0000 3.7041

---

No. 12
! BaNaGe2 (PBE, relaxed); values from VASP
! DOS at the Fermi energy (states/eV per atom): 0.518
! DFT formation energy (eV per atom): -0.4245
! Symmetry: No. 62
! Uncorrected energy (eV per atom): -3.5436
! Crystal system: orthorhombic
! Distance to the lowest polymorph of the same formula (eV/f.u.): 0.000
&SYSTEM
  ibrav = 0, nat = 16, ntyp = 3
/
ATOMIC_SPECIES
Ba 137.33 Ba.upf
Na 22.99 Na.upf
Ge 72.64 Ge.upf
CELL_PARAMETERS angstrom
-0.2645 -3.3840 2.3726
5.7735 3.7967 6.0587
-9.4240 4.8861 5.9184
ATOMIC_POSITIONS angstrom
Ba -2.4173 4.6468 8.1654
Na -5.6964 3.7065 10.0731
Ge -3.1848 4.6609 11.7143
Na -3.7371 1.0583 2.9000
Ba -7.4700 3.8713 6.4961
Ge -0.7303 0.6378 2.6355
Ba 3.5549 1.4274 7.8537
Na -0.1779 4.2404 11.4498
Ge 0.7105 3.2858 6.5729
Ge -4.0101 2.8684 5.4513
Ge -4.6256 2.0129 7.7769
Na 1.7813 1.5922 4.2767
Ge 0.0950 2.4303 8.8985
Ge -4.5323 6.5342 10.6216
Ge 0.6172 -1.2355 3.7282
Ba -1.4977 0.6519 6.1844

---

- uncorrected energy of number 10 (Ba2UGe2N6)?
  -7.3505 eV per atom

---

- Number 12 is which compound?
  BaNaGe2

---

- Which of these has the lowest uncorrected energy?
  BaTc2GeN2